Below is ReTe2As after structural relaxation, with properties calculated at the PBE level.

Geometry as CIF:
```
data_ReTe2As
_chemical_formula_sum 'Re1 Te2 As1'
_space_group_name_H-M_alt 'P 1 m 1'
_space_group_IT_number 6
_space_group_name_Hall 'P -2y'
_cell_length_a 3.2860
_cell_length_b 4.1052
_cell_length_c 7.2859
_cell_angle_alpha 90.00
_cell_angle_beta 90.12
_cell_angle_gamma 90.00
loop_
_atom_site_label
_atom_site_type_symbol
_atom_site_fract_x
_atom_site_fract_y
_atom_site_fract_z
_atom_site_occupancy
Re1 Re 0.0000 0.0000 0.0000 1
Te1 Te 0.5026 0.0000 0.3176 1
Te2 Te 0.9985 0.5000 0.7199 1
As1 As 0.4998 0.5000 0.0548 1
```

Values from the calculation:
Crystal system: monoclinic

=====

Below is ReTe2As after structural relaxation, with properties calculated at the PBE level.

Geometry as CIF:
```
data_ReTe2As
_chemical_formula_sum 'Re2 Te4 As2'
_space_group_name_H-M_alt 'I m m 2'
_space_group_IT_number 44
_space_group_name_Hall 'I 2 -2'
_cell_length_a 3.2277
_cell_length_b 4.8740
_cell_length_c 12.2433
_cell_angle_alpha 90.00
_cell_angle_beta 90.00
_cell_angle_gamma 90.00
loop_
_atom_site_label
_atom_site_type_symbol
_atom_site_fract_x
_atom_site_fract_y
_atom_site_fract_z
_atom_site_occupancy
Re1 Re 0.0000 0.0000 0.0000 1
Te1 Te 0.0000 0.0000 0.4703 1
Te2 Te 0.0000 0.5000 0.6812 1
As1 As 0.0000 0.5000 0.3364 1
```

Values from the calculation:
Crystal system: orthorhombic

=====

Below is ReTe2As after structural relaxation, with properties calculated at the PBE level.

Geometry as CIF:
```
data_ReTe2As
_chemical_formula_sum 'Re3 Te6 As3'
_space_group_name_H-M_alt 'R -3 m'
_space_group_IT_number 166
_space_group_name_Hall '-R 3 2"'
_cell_length_a 3.0161
_cell_length_b 3.0161
_cell_length_c 36.0264
_cell_angle_alpha 90.00
_cell_angle_beta 90.00
_cell_angle_gamma 120.00
loop_
_atom_site_label
_atom_site_type_symbol
_atom_site_fract_x
_atom_site_fract_y
_atom_site_fract_z
_atom_site_occupancy
Re1 Re 0.0000 0.0000 0.0000 1
Te1 Te 0.0000 0.0000 0.0741 1
As1 As 0.0000 0.0000 0.5000 1
```

Values from the calculation:
Crystal system: trigonal

=====

Below is ReTeAs2 after structural relaxation, with properties calculated at the PBE level.

Geometry as CIF:
```
data_ReTeAs2
_chemical_formula_sum 'Re2 Te2 As4'
_space_group_name_H-M_alt 'C 1 m 1'
_space_group_IT_number 8
_space_group_name_Hall 'C -2y'
_cell_length_a 8.1305
_cell_length_b 3.3177
_cell_length_c 7.1549
_cell_angle_alpha 90.00
_cell_angle_beta 98.22
_cell_angle_gamma 90.00
loop_
_atom_site_label
_atom_site_type_symbol
_atom_site_fract_x
_atom_site_fract_y
_atom_site_fract_z
_atom_site_occupancy
Re1 Re 0.0000 0.0000 0.0000 1
Te1 Te 0.2591 0.0000 0.7502 1
As1 As 0.0139 0.5000 0.3013 1
As2 As 0.2233 0.5000 0.1095 1
```

Values from the calculation:
Crystal system: monoclinic

=====

Below is ReTe4As after structural relaxation, with properties calculated at the PBE level.

Geometry as CIF:
```
data_ReTe4As
_chemical_formula_sum 'Re2 Te8 As2'
_space_group_name_H-M_alt 'P -1'
_space_group_IT_number 2
_space_group_name_Hall '-P 1'
_cell_length_a 7.3375
_cell_length_b 7.4784
_cell_length_c 7.7110
_cell_angle_alpha 100.81
_cell_angle_beta 90.00
_cell_angle_gamma 119.24
loop_
_atom_site_label
_atom_site_type_symbol
_atom_site_fract_x
_atom_site_fract_y
_atom_site_fract_z
_atom_site_occupancy
Re1 Re 0.1103 0.0000 0.2500 1
Te1 Te 0.0712 0.2852 0.0636 1
Te2 Te 0.2128 0.2852 0.5637 1
Te3 Te 0.2759 0.8225 0.4128 1
Te4 Te 0.4526 0.1776 0.0873 1
As1 As 0.2243 0.0001 0.7500 1
```

Values from the calculation:
Crystal system: triclinic
Offset from the most stable computed form: 0.00 eV per formula unit

=====

Below is ReTe2As after structural relaxation, with properties calculated at the PBE level.

Geometry as CIF:
```
data_ReTe2As
_chemical_formula_sum 'Re1 Te2 As1'
_space_group_name_H-M_alt 'P 1 2/m 1'
_space_group_IT_number 10
_space_group_name_Hall '-P 2y'
_cell_length_a 2.8799
_cell_length_b 3.3965
_cell_length_c 9.6465
_cell_angle_alpha 90.00
_cell_angle_beta 90.04
_cell_angle_gamma 90.00
loop_
_atom_site_label
_atom_site_type_symbol
_atom_site_fract_x
_atom_site_fract_y
_atom_site_fract_z
_atom_site_occupancy
Re1 Re 0.0000 0.0000 0.0000 1
Te1 Te 0.0030 0.5000 0.7798 1
As1 As 0.0000 0.0000 0.5000 1
```

Values from the calculation:
Crystal system: monoclinic

=====

Below is ReTe2As after structural relaxation, with properties calculated at the PBE level.

Geometry as CIF:
```
data_ReTe2As
_chemical_formula_sum 'Re1 Te2 As1'
_space_group_name_H-M_alt 'P 4/m m m'
_space_group_IT_number 123
_space_group_name_Hall '-P 4 2'
_cell_length_a 4.9595
_cell_length_b 4.9595
_cell_length_c 3.3235
_cell_angle_alpha 90.00
_cell_angle_beta 90.00
_cell_angle_gamma 90.00
loop_
_atom_site_label
_atom_site_type_symbol
_atom_site_fract_x
_atom_site_fract_y
_atom_site_fract_z
_atom_site_occupancy
Re1 Re 0.0000 0.0000 0.0000 1
Te1 Te 0.0000 0.5000 0.5000 1
As1 As 0.5000 0.5000 0.0000 1
```

Values from the calculation:
Crystal system: tetragonal

=====

Below is ReTeAs2 after structural relaxation, with properties calculated at the PBE level.

Geometry as CIF:
```
data_ReTeAs2
_chemical_formula_sum 'Re3 Te3 As6'
_space_group_name_H-M_alt 'R 3 m'
_space_group_IT_number 160
_space_group_name_Hall 'R 3 -2"'
_cell_length_a 3.2617
_cell_length_b 3.2617
_cell_length_c 26.6287
_cell_angle_alpha 90.00
_cell_angle_beta 90.00
_cell_angle_gamma 120.00
loop_
_atom_site_label
_atom_site_type_symbol
_atom_site_fract_x
_atom_site_fract_y
_atom_site_fract_z
_atom_site_occupancy
Re1 Re 0.0000 0.0000 0.0000 1
Te1 Te 0.0000 0.0000 0.7398 1
As1 As 0.0000 0.0000 0.2653 1
As2 As 0.0000 0.0000 0.5248 1
```

Values from the calculation:
Crystal system: trigonal

=====

Below is ReTeAs2 after structural relaxation, with properties calculated at the PBE level.

Geometry as CIF:
```
data_ReTeAs2
_chemical_formula_sum 'Re1 Te1 As2'
_space_group_name_H-M_alt 'P 4 m m'
_space_group_IT_number 99
_space_group_name_Hall 'P 4 -2'
_cell_length_a 3.3201
_cell_length_b 3.3201
_cell_length_c 7.5315
_cell_angle_alpha 90.00
_cell_angle_beta 90.00
_cell_angle_gamma 90.00
loop_
_atom_site_label
_atom_site_type_symbol
_atom_site_fract_x
_atom_site_fract_y
_atom_site_fract_z
_atom_site_occupancy
Re1 Re 0.0000 0.0000 0.0000 1
Te1 Te 0.5000 0.5000 0.2143 1
As1 As 0.0000 0.0000 0.6363 1
As2 As 0.5000 0.5000 0.8040 1
```

Values from the calculation:
Crystal system: tetragonal

=====

Below is ReTeAs2 after structural relaxation, with properties calculated at the PBE level.

Geometry as CIF:
```
data_ReTeAs2
_chemical_formula_sum 'Re2 Te2 As4'
_space_group_name_H-M_alt 'I 4/m m m'
_space_group_IT_number 139
_space_group_name_Hall '-I 4 2'
_cell_length_a 5.4362
_cell_length_b 5.4362
_cell_length_c 5.4560
_cell_angle_alpha 90.00
_cell_angle_beta 90.00
_cell_angle_gamma 90.00
loop_
_atom_site_label
_atom_site_type_symbol
_atom_site_fract_x
_atom_site_fract_y
_atom_site_fract_z
_atom_site_occupancy
Re1 Re 0.0000 0.0000 0.0000 1
Te1 Te 0.0000 0.0000 0.5000 1
As1 As 0.0000 0.5000 0.0000 1
```

Values from the calculation:
Crystal system: tetragonal

=====

Below is ReTe2As after structural relaxation, with properties calculated at the PBE level.

Geometry as CIF:
```
data_ReTe2As
_chemical_formula_sum 'Re1 Te2 As1'
_space_group_name_H-M_alt 'P m m m'
_space_group_IT_number 47
_space_group_name_Hall '-P 2 2'
_cell_length_a 3.3540
_cell_length_b 4.7665
_cell_length_c 5.2130
_cell_angle_alpha 90.00
_cell_angle_beta 90.00
_cell_angle_gamma 90.00
loop_
_atom_site_label
_atom_site_type_symbol
_atom_site_fract_x
_atom_site_fract_y
_atom_site_fract_z
_atom_site_occupancy
Re1 Re 0.0000 0.0000 0.0000 1
Te1 Te 0.0000 0.5000 0.5000 1
Te2 Te 0.5000 0.5000 0.0000 1
As1 As 0.5000 0.0000 0.5000 1
```

Values from the calculation:
Crystal system: orthorhombic

=====

Below is ReTe2As after structural relaxation, with properties calculated at the PBE level.

Geometry as CIF:
```
data_ReTe2As
_chemical_formula_sum 'Re4 Te8 As4'
_space_group_name_H-M_alt 'I -4 2 d'
_space_group_IT_number 122
_space_group_name_Hall 'I -4 2bw'
_cell_length_a 6.7255
_cell_length_b 6.7255
_cell_length_c 10.4566
_cell_angle_alpha 90.00
_cell_angle_beta 90.00
_cell_angle_gamma 90.00
loop_
_atom_site_label
_atom_site_type_symbol
_atom_site_fract_x
_atom_site_fract_y
_atom_site_fract_z
_atom_site_occupancy
Re1 Re 0.0000 0.0000 0.0000 1
Te1 Te 0.2124 0.2500 0.1250 1
As1 As 0.0000 0.0000 0.5000 1
```

Values from the calculation:
Crystal system: tetragonal

=====

no.,E_tot (eV/atom),raw formation energy (meV/atom)
1,-5.3862,459
2,-5.4213,424
3,-4.9449,900
4,-5.9343,288
5,-4.8322,112
6,-5.1930,652
7,-4.9708,874
8,-5.8452,377
9,-5.8613,361
10,-5.5237,699
11,-4.8278,1017
12,-5.1042,741